Pr3H12Pd5: optimized geometry, GGA-PBE.

Calculated values
For the volume, the calculation gives 896.2 Å³/cell. The density of states at the Fermi level is 27.712 states/eV/cell. Its total energy is -4.338 eV per atom. The mass density comes out at 7.17 g/cm3.

Lattice parameters (Å, degrees): 10.520 10.520 10.520 109.47 109.47 109.47
Fractional coordinates of all 80 atoms:
Pr: 0.125 0.250 0.375
Pr: 0.125 0.375 0.750
Pr: 0.250 0.375 0.125
Pr: 0.250 0.875 0.625
Pr: 0.375 0.125 0.250
Pr: 0.375 0.750 0.125
Pr: 0.625 0.250 0.875
Pr: 0.625 0.875 0.750
Pr: 0.750 0.125 0.375
Pr: 0.750 0.625 0.875
Pr: 0.875 0.625 0.250
Pr: 0.875 0.750 0.625
H: 0.012 0.186 0.104
H: 0.012 0.325 0.907
H: 0.082 0.686 0.675
H: 0.082 0.896 0.407
H: 0.093 0.604 0.418
H: 0.093 0.988 0.675
H: 0.104 0.012 0.186
H: 0.104 0.593 0.918
H: 0.175 0.186 0.582
H: 0.175 0.488 0.593
H: 0.186 0.104 0.012
H: 0.186 0.582 0.175
H: 0.314 0.325 0.918
H: 0.314 0.488 0.396
H: 0.325 0.907 0.012
H: 0.325 0.918 0.314
H: 0.396 0.314 0.488
H: 0.396 0.582 0.907
H: 0.407 0.082 0.896
H: 0.407 0.825 0.512
H: 0.418 0.093 0.604
H: 0.418 0.825 0.814
H: 0.488 0.396 0.314
H: 0.488 0.593 0.175
H: 0.512 0.407 0.825
H: 0.512 0.604 0.686
H: 0.582 0.175 0.186
H: 0.582 0.907 0.396
H: 0.593 0.175 0.488
H: 0.593 0.918 0.104
H: 0.604 0.418 0.093
H: 0.604 0.686 0.512
H: 0.675 0.082 0.686
H: 0.675 0.093 0.988
H: 0.686 0.512 0.604
H: 0.686 0.675 0.082
H: 0.814 0.418 0.825
H: 0.814 0.896 0.988
H: 0.825 0.512 0.407
H: 0.825 0.814 0.418
H: 0.896 0.407 0.082
H: 0.896 0.988 0.814
H: 0.907 0.012 0.325
H: 0.907 0.396 0.582
H: 0.918 0.104 0.593
H: 0.918 0.314 0.325
H: 0.988 0.675 0.093
H: 0.988 0.814 0.896
Pd: 0.000 0.000 0.000
Pd: 0.000 0.000 0.500
Pd: 0.000 0.500 0.000
Pd: 0.000 0.500 0.500
Pd: 0.125 0.750 0.875
Pd: 0.125 0.875 0.250
Pd: 0.250 0.125 0.875
Pd: 0.250 0.625 0.375
Pd: 0.375 0.250 0.625
Pd: 0.375 0.625 0.750
Pd: 0.500 0.000 0.000
Pd: 0.500 0.000 0.500
Pd: 0.500 0.500 0.000
Pd: 0.500 0.500 0.500
Pd: 0.625 0.375 0.250
Pd: 0.625 0.750 0.375
Pd: 0.750 0.375 0.625
Pd: 0.750 0.875 0.125
Pd: 0.875 0.125 0.750
Pd: 0.875 0.250 0.125